Entry 1:
5
Lattice="5.795 0.000 0.000 0.000 5.795 0.000 0.000 0.000 5.795" Properties=species:S:1:pos:R:3 comment="Sr3PdAu | Alexandria via LeMat-Bulk | PBE | optimized geometry" formation_energy_mev_per_atom=-304 magmom_total_mub_per_fu=0.00 de_polymorph_mev_per_atom=292 pbc="T T T"
Sr 0.000 0.000 2.898
Sr 0.000 2.898 0.000
Sr 2.898 0.000 0.000
Pd 0.000 0.000 0.000
Au 2.898 2.898 2.898

---

Entry 2:
5
Lattice="3.661 0.000 0.000 0.000 3.661 0.000 0.000 0.000 3.749" Properties=species:S:1:pos:R:3 comment="PtN2OF | Alexandria via LeMat-Bulk | PBE | optimized geometry" magmom_total_mub_per_fu=1.01 formation_energy_uncorrected_mev_per_atom=2521 pbc="T T T"
Pt 0.000 0.000 0.000
N 0.000 1.831 1.874
N 1.831 0.000 1.874
O 1.831 1.831 0.000
F 1.831 1.831 1.874

---

Entry 3:
5
Lattice="4.092 0.000 0.000 0.000 4.092 0.000 0.000 0.000 4.092" Properties=species:S:1:pos:R:3 comment="CoGe3H | Alexandria via LeMat-Bulk | PBE | optimized geometry" magmom_total_mub_per_fu=1.00 de_polymorph_mev_per_atom=61 pbc="T T T"
Co 0.000 0.000 0.000
Ge 0.000 2.046 2.046
Ge 2.046 0.000 2.046
Ge 2.046 2.046 0.000
H 2.046 2.046 2.046

---

Entry 4:
14
Lattice="2.082 -6.861 0.000 2.082 6.861 0.000 0.000 0.000 13.846" Properties=species:S:1:pos:R:3 comment="La4AsS2 | Alexandria via LeMat-Bulk | PBE | optimized geometry" magmom_total_mub_per_fu=0.58 formation_energy_uncorrected_mev_per_atom=-1623 de_polymorph_mev_per_atom=0 pbc="T T T"
La 0.000 0.000 0.000
La 0.000 0.000 6.923
La 2.082 3.093 8.623
La 2.082 3.093 12.147
La 2.082 0.740 3.462
La 2.082 -0.740 10.385
La 2.082 -3.093 1.700
La 2.082 -3.093 5.223
As 2.082 5.411 3.462
As 2.082 -5.411 10.385
S 2.082 1.882 0.855
S 2.082 1.882 6.068
S 2.082 -1.882 7.779
S 2.082 -1.882 12.991

---

Entry 5:
5
Lattice="4.619 0.000 0.000 0.000 4.619 0.000 0.000 0.000 5.616" Properties=species:S:1:pos:R:3 comment="YMgBeCl2 | Alexandria via LeMat-Bulk | PBE | optimized geometry" magmom_total_mub_per_fu=0.00 formation_energy_uncorrected_mev_per_atom=-47 pbc="T T T"
Y 0.000 0.000 0.000
Mg 2.310 2.310 0.000
Be 0.000 0.000 2.808
Cl 0.000 2.310 2.808
Cl 2.310 0.000 2.808

---

Entry 6:
12
Lattice="8.826 -2.331 0.000 8.826 2.331 0.000 -4.100 0.000 7.649" Properties=species:S:1:pos:R:3 comment="LaMg3Sn2 | Alexandria via LeMat-Bulk | PBE | optimized geometry" formation_energy_mev_per_atom=-369 magmom_total_mub_per_fu=0.00 pbc="T T T"
La 2.209 0.000 0.448
La 11.343 0.000 7.201
Mg -0.695 0.000 3.029
Mg 3.234 0.000 4.059
Mg 5.791 0.000 2.375
Mg 7.760 0.000 5.274
Mg 10.317 0.000 3.591
Mg 14.247 0.000 4.621
Sn 0.710 0.000 5.676
Sn 5.106 0.000 6.267
Sn 8.445 0.000 1.382
Sn 12.841 0.000 1.974